(1)
## LaYAs2 (PBE-GGA)

Data for a relaxed LaYAs2 crystal.

Summary:
N(E_F) in states/eV per cell: 9.85
Crystal system: cubic
Calculated volume in A^3/atom: 23.61
E above lowest polymorph in eV/atom: 1.159
Magnetic moment in Bohr magnetons per cell: 0.00
ΔE_f in kJ/mol of atoms: -38.3

a = 7.228 Å, b = 7.228 Å, c = 7.228 Å
α = 90.00°, β = 90.00°, γ = 90.00°
Sites, in units of the cell vectors:
La: 0.000 0.000 0.000
La: 0.000 0.500 0.500
La: 0.500 0.000 0.500
La: 0.500 0.500 0.000
Y: 0.250 0.250 0.250
Y: 0.250 0.750 0.750
Y: 0.750 0.250 0.750
Y: 0.750 0.750 0.250
As: 0.000 0.000 0.500
As: 0.000 0.500 0.000
As: 0.250 0.250 0.750
As: 0.250 0.750 0.250
As: 0.500 0.000 0.000
As: 0.500 0.500 0.500
As: 0.750 0.250 0.250
As: 0.750 0.750 0.750

(2)
## KTeAs2Se (PBE-GGA)

Data for a relaxed KTeAs2Se crystal.

Summary:
E_form (uncorrected) in eV/atom: 0.287
N(E_F) in states/eV per cell: 5.55
Crystal system: tetragonal
Calculated volume in A^3/atom: 33.06
E above lowest polymorph in eV/atom: 0.000
Magnetic moment in Bohr magnetons per cell: 1.32

a = 5.434 Å, b = 5.434 Å, c = 5.599 Å
α = 90.00°, β = 90.00°, γ = 90.00°
Sites, in units of the cell vectors:
K: 0.000 0.000 0.000
Te: 0.500 0.500 0.500
As: 0.000 0.500 0.500
As: 0.500 0.000 0.500
Se: 0.500 0.500 0.000

(3)
## BaNaTiF6 (PBE-GGA)

Data for a relaxed BaNaTiF6 crystal.

Summary:
E_form (uncorrected) in eV/atom: -3.401
N(E_F) in states/eV per cell: 13.52
Crystal system: trigonal
Calculated volume in A^3/atom: 17.33
Magnetic moment in Bohr magnetons per cell: 2.00

a = 5.730 Å, b = 5.730 Å, c = 10.972 Å
α = 90.00°, β = 90.00°, γ = 120.00°
Sites, in units of the cell vectors:
Ba: 0.000 0.000 0.000
Ba: 0.000 0.000 0.500
Na: 0.333 0.667 0.250
Na: 0.667 0.333 0.750
Ti: 0.333 0.667 0.750
Ti: 0.667 0.333 0.250
F: 0.042 0.387 0.646
F: 0.042 0.655 0.854
F: 0.345 0.387 0.854
F: 0.345 0.958 0.646
F: 0.387 0.042 0.146
F: 0.387 0.345 0.354
F: 0.613 0.655 0.646
F: 0.613 0.958 0.854
F: 0.655 0.042 0.354
F: 0.655 0.613 0.146
F: 0.958 0.345 0.146
F: 0.958 0.613 0.354

(4)
## NaErTlGe (PBE-GGA)

Data for a relaxed NaErTlGe crystal.

Summary:
N(E_F) in states/eV per cell: 7.55
Crystal system: cubic
Calculated volume in A^3/atom: 24.30
Magnetic moment in Bohr magnetons per cell: 0.00
ΔE_f in kJ/mol of atoms: -20.7

a = 7.299 Å, b = 7.299 Å, c = 7.299 Å
α = 90.00°, β = 90.00°, γ = 90.00°
Sites, in units of the cell vectors:
Na: 0.000 0.000 0.000
Na: 0.000 0.500 0.500
Na: 0.500 0.000 0.500
Na: 0.500 0.500 0.000
Er: 0.000 0.000 0.500
Er: 0.000 0.500 0.000
Er: 0.500 0.000 0.000
Er: 0.500 0.500 0.500
Tl: 0.250 0.250 0.250
Tl: 0.250 0.750 0.750
Tl: 0.750 0.250 0.750
Tl: 0.750 0.750 0.250
Ge: 0.250 0.250 0.750
Ge: 0.250 0.750 0.250
Ge: 0.750 0.250 0.250
Ge: 0.750 0.750 0.750

(5)
## KTc2Sb (PBE-GGA)

Data for a relaxed KTc2Sb crystal.

Summary:
E_form (uncorrected) in eV/atom: 0.934
N(E_F) in states/eV per cell: 17.29
Crystal system: tetragonal
Calculated volume in A^3/atom: 27.37
Magnetic moment in Bohr magnetons per cell: 2.60

a = 4.772 Å, b = 4.772 Å, c = 19.236 Å
α = 90.00°, β = 90.00°, γ = 90.00°
Sites, in units of the cell vectors:
K: 0.000 0.000 0.000
K: 0.000 0.500 0.250
K: 0.500 0.000 0.750
K: 0.500 0.500 0.500
Tc: 0.044 0.750 0.625
Tc: 0.250 0.044 0.375
Tc: 0.250 0.456 0.875
Tc: 0.456 0.750 0.125
Tc: 0.544 0.250 0.125
Tc: 0.750 0.544 0.875
Tc: 0.750 0.956 0.375
Tc: 0.956 0.250 0.625
Sb: 0.000 0.000 0.500
Sb: 0.000 0.500 0.750
Sb: 0.500 0.000 0.250
Sb: 0.500 0.500 0.000

(6)
## Ba5GeO (PBE-GGA)

Data for a relaxed Ba5GeO crystal.

Summary:
E_form (uncorrected) in eV/atom: -0.806
N(E_F) in states/eV per cell: 10.18
Crystal system: monoclinic
Calculated volume in A^3/atom: 43.22
Magnetic moment in Bohr magnetons per cell: 0.00

a = 8.160 Å, b = 8.160 Å, c = 10.697 Å
α = 109.76°, β = 109.76°, γ = 68.58°
Sites, in units of the cell vectors:
Ba: 0.058 0.942 0.750
Ba: 0.166 0.299 0.628
Ba: 0.250 0.646 0.027
Ba: 0.299 0.166 0.128
Ba: 0.354 0.750 0.473
Ba: 0.646 0.250 0.527
Ba: 0.701 0.834 0.872
Ba: 0.750 0.354 0.973
Ba: 0.834 0.701 0.372
Ba: 0.942 0.058 0.250
Ge: 0.409 0.591 0.750
Ge: 0.591 0.409 0.250
O: 0.000 0.000 0.000
O: 0.000 0.000 0.500

(7)
## PuUV2 (PBE-GGA)

Data for a relaxed PuUV2 crystal.

Summary:
N(E_F) in states/eV per cell: 9.34
Crystal system: tetragonal
Calculated volume in A^3/atom: 18.76
E above lowest polymorph in eV/atom: 0.051
Magnetic moment in Bohr magnetons per cell: 4.58
ΔE_f in kJ/mol of atoms: 38.1

a = 3.232 Å, b = 3.232 Å, c = 7.183 Å
α = 90.00°, β = 90.00°, γ = 90.00°
Sites, in units of the cell vectors:
Pu: 0.000 0.000 0.000
U: 0.000 0.000 0.500
V: 0.500 0.500 0.301
V: 0.500 0.500 0.699

(8)
## YLuMgRu (PBE-GGA)

Data for a relaxed YLuMgRu crystal.

Summary:
N(E_F) in states/eV per cell: 14.47
Crystal system: cubic
Calculated volume in A^3/atom: 21.84
Magnetic moment in Bohr magnetons per cell: 0.00
ΔE_f in kJ/mol of atoms: -21.4

a = 7.044 Å, b = 7.044 Å, c = 7.044 Å
α = 90.00°, β = 90.00°, γ = 90.00°
Sites, in units of the cell vectors:
Y: 0.000 0.000 0.000
Y: 0.000 0.500 0.500
Y: 0.500 0.000 0.500
Y: 0.500 0.500 0.000
Lu: 0.000 0.000 0.500
Lu: 0.000 0.500 0.000
Lu: 0.500 0.000 0.000
Lu: 0.500 0.500 0.500
Mg: 0.250 0.250 0.250
Mg: 0.250 0.750 0.750
Mg: 0.750 0.250 0.750
Mg: 0.750 0.750 0.250
Ru: 0.250 0.250 0.750
Ru: 0.250 0.750 0.250
Ru: 0.750 0.250 0.250
Ru: 0.750 0.750 0.750

(9)
## Cs2PuCl4F2 (PBE-GGA)

Data for a relaxed Cs2PuCl4F2 crystal.

Summary:
E_form (uncorrected) in eV/atom: -2.369
N(E_F) in states/eV per cell: 3.30
Crystal system: monoclinic
Calculated volume in A^3/atom: 31.37
Magnetic moment in Bohr magnetons per cell: 4.00

a = 7.266 Å, b = 7.266 Å, c = 6.005 Å
α = 98.50°, β = 98.50°, γ = 64.75°
Sites, in units of the cell vectors:
Cs: 0.168 0.168 0.322
Cs: 0.832 0.832 0.678
Pu: 0.500 0.500 0.000
Cl: 0.157 0.649 0.198
Cl: 0.351 0.843 0.802
Cl: 0.649 0.157 0.198
Cl: 0.843 0.351 0.802
F: 0.365 0.365 0.735
F: 0.635 0.635 0.265

(10)
## LiCuSnGe (PBE-GGA)

Data for a relaxed LiCuSnGe crystal.

Summary:
N(E_F) in states/eV per cell: 5.53
Crystal system: cubic
Calculated volume in A^3/atom: 17.38
Magnetic moment in Bohr magnetons per cell: 0.00
ΔE_f in kJ/mol of atoms: -3.4

a = 6.527 Å, b = 6.527 Å, c = 6.527 Å
α = 90.00°, β = 90.00°, γ = 90.00°
Sites, in units of the cell vectors:
Li: 0.000 0.000 0.000
Li: 0.000 0.500 0.500
Li: 0.500 0.000 0.500
Li: 0.500 0.500 0.000
Cu: 0.000 0.000 0.500
Cu: 0.000 0.500 0.000
Cu: 0.500 0.000 0.000
Cu: 0.500 0.500 0.500
Sn: 0.250 0.250 0.750
Sn: 0.250 0.750 0.250
Sn: 0.750 0.250 0.250
Sn: 0.750 0.750 0.750
Ge: 0.250 0.250 0.250
Ge: 0.250 0.750 0.750
Ge: 0.750 0.250 0.750
Ge: 0.750 0.750 0.250

(11)
## BaNaPmBr6 (PBE-GGA)

Data for a relaxed BaNaPmBr6 crystal.

Summary:
E_form (uncorrected) in eV/atom: -1.902
N(E_F) in states/eV per cell: 0.00
Crystal system: trigonal
Calculated volume in A^3/atom: 38.63
Magnetic moment in Bohr magnetons per cell: 0.00

a = 7.587 Å, b = 7.587 Å, c = 13.950 Å
α = 90.00°, β = 90.00°, γ = 120.00°
Sites, in units of the cell vectors:
Ba: 0.000 0.000 0.000
Ba: 0.000 0.000 0.500
Na: 0.333 0.667 0.250
Na: 0.667 0.333 0.750
Pm: 0.333 0.667 0.750
Pm: 0.667 0.333 0.250
Br: 0.012 0.363 0.632
Br: 0.012 0.649 0.868
Br: 0.351 0.363 0.868
Br: 0.351 0.988 0.632
Br: 0.363 0.012 0.132
Br: 0.363 0.351 0.368
Br: 0.637 0.649 0.632
Br: 0.637 0.988 0.868
Br: 0.649 0.012 0.368
Br: 0.649 0.637 0.132
Br: 0.988 0.351 0.132
Br: 0.988 0.637 0.368

(12)
## PmNd5Mg (PBE-GGA)

Data for a relaxed PmNd5Mg crystal.

Summary:
N(E_F) in states/eV per cell: 17.18
Crystal system: monoclinic
Calculated volume in A^3/atom: 34.19
Magnetic moment in Bohr magnetons per cell: 0.00
ΔE_f in kJ/mol of atoms: 9.1

a = 6.570 Å, b = 6.570 Å, c = 11.980 Å
α = 104.14°, β = 104.14°, γ = 96.05°
Sites, in units of the cell vectors:
Pm: 0.004 0.996 0.750
Pm: 0.996 0.004 0.250
Nd: 0.048 0.725 0.463
Nd: 0.111 0.478 0.154
Nd: 0.275 0.952 0.037
Nd: 0.361 0.639 0.750
Nd: 0.478 0.111 0.654
Nd: 0.522 0.889 0.346
Nd: 0.639 0.361 0.250
Nd: 0.725 0.048 0.963
Nd: 0.889 0.522 0.846
Nd: 0.952 0.275 0.537
Mg: 0.500 0.500 0.000
Mg: 0.500 0.500 0.500

(13)
## Rb2Ga2Pt (PBE-GGA)

Data for a relaxed Rb2Ga2Pt crystal.

Summary:
N(E_F) in states/eV per cell: 6.02
Crystal system: trigonal
Calculated volume in A^3/atom: 36.35
E above lowest polymorph in eV/atom: 0.000
Magnetic moment in Bohr magnetons per cell: 0.00
ΔE_f in kJ/mol of atoms: -31.8

a = 4.393 Å, b = 4.393 Å, c = 32.626 Å
α = 90.00°, β = 90.00°, γ = 120.00°
Sites, in units of the cell vectors:
Rb: 0.000 0.000 0.070
Rb: 0.000 0.000 0.930
Rb: 0.333 0.667 0.597
Rb: 0.333 0.667 0.736
Rb: 0.667 0.333 0.264
Rb: 0.667 0.333 0.403
Ga: 0.000 0.000 0.184
Ga: 0.000 0.000 0.816
Ga: 0.333 0.667 0.483
Ga: 0.333 0.667 0.851
Ga: 0.667 0.333 0.149
Ga: 0.667 0.333 0.517
Pt: 0.000 0.000 0.500
Pt: 0.333 0.667 0.167
Pt: 0.667 0.333 0.833

(14)
## Ca2Tl13 (PBE-GGA)

Data for a relaxed Ca2Tl13 crystal.

Summary:
N(E_F) in states/eV per cell: 7.73
Crystal system: trigonal
Calculated volume in A^3/atom: 37.01
Magnetic moment in Bohr magnetons per cell: 0.00
ΔE_f in kJ/mol of atoms: 3.9

a = 9.543 Å, b = 9.543 Å, c = 9.543 Å
α = 55.83°, β = 55.83°, γ = 55.83°
Sites, in units of the cell vectors:
Ca: 0.239 0.239 0.239
Ca: 0.761 0.761 0.761
Tl: 0.000 0.000 0.000
Tl: 0.016 0.016 0.643
Tl: 0.016 0.643 0.016
Tl: 0.240 0.240 0.614
Tl: 0.240 0.614 0.240
Tl: 0.357 0.984 0.984
Tl: 0.386 0.760 0.760
Tl: 0.614 0.240 0.240
Tl: 0.643 0.016 0.016
Tl: 0.760 0.386 0.760
Tl: 0.760 0.760 0.386
Tl: 0.984 0.357 0.984
Tl: 0.984 0.984 0.357

(15)
## MgTlPd (PBE-GGA)

Data for a relaxed MgTlPd crystal.

Summary:
N(E_F) in states/eV per cell: 2.80
Crystal system: monoclinic
Calculated volume in A^3/atom: 22.25
Magnetic moment in Bohr magnetons per cell: 0.00
ΔE_f in kJ/mol of atoms: -29.5

a = 5.475 Å, b = 4.651 Å, c = 5.522 Å
α = 90.00°, β = 108.30°, γ = 90.00°
Sites, in units of the cell vectors:
Mg: 0.135 0.250 0.423
Mg: 0.865 0.750 0.577
Tl: 0.322 0.750 0.089
Tl: 0.678 0.250 0.911
Pd: 0.371 0.750 0.602
Pd: 0.629 0.250 0.398

(16)
## MgSbPdI2 (PBE-GGA)

Data for a relaxed MgSbPdI2 crystal.

Summary:
E_form (uncorrected) in eV/atom: 0.136
N(E_F) in states/eV per cell: 3.50
Crystal system: tetragonal
Calculated volume in A^3/atom: 32.53
E above lowest polymorph in eV/atom: 0.000
Magnetic moment in Bohr magnetons per cell: 0.83

a = 5.521 Å, b = 5.521 Å, c = 5.337 Å
α = 90.00°, β = 90.00°, γ = 90.00°
Sites, in units of the cell vectors:
Mg: 0.000 0.000 0.000
Sb: 0.500 0.500 0.000
Pd: 0.500 0.500 0.500
I: 0.000 0.500 0.500
I: 0.500 0.000 0.500

(17)
## GeO2F (PBE-GGA)

Data for a relaxed GeO2F crystal.

Summary:
E_form (uncorrected) in eV/atom: -0.163
N(E_F) in states/eV per cell: 7.99
Crystal system: cubic
Calculated volume in A^3/atom: 8.80
E above lowest polymorph in eV/atom: 0.788
Magnetic moment in Bohr magnetons per cell: 4.06

a = 5.203 Å, b = 5.203 Å, c = 5.203 Å
α = 90.00°, β = 90.00°, γ = 90.00°
Sites, in units of the cell vectors:
Ge: 0.000 0.000 0.000
Ge: 0.000 0.500 0.500
Ge: 0.500 0.000 0.500
Ge: 0.500 0.500 0.000
O: 0.250 0.250 0.250
O: 0.250 0.250 0.750
O: 0.250 0.750 0.250
O: 0.250 0.750 0.750
O: 0.750 0.250 0.250
O: 0.750 0.250 0.750
O: 0.750 0.750 0.250
O: 0.750 0.750 0.750
F: 0.000 0.000 0.500
F: 0.000 0.500 0.000
F: 0.500 0.000 0.000
F: 0.500 0.500 0.500

(18)
## La3PaTl3S8 (PBE-GGA)

Data for a relaxed La3PaTl3S8 crystal.

Summary:
E_form (uncorrected) in eV/atom: -1.542
N(E_F) in states/eV per cell: 4.86
Crystal system: trigonal
Calculated volume in A^3/atom: 31.13
Magnetic moment in Bohr magnetons per cell: 1.06

a = 8.951 Å, b = 8.951 Å, c = 8.951 Å
α = 56.57°, β = 56.57°, γ = 56.57°
Sites, in units of the cell vectors:
La: 0.000 0.500 0.500
La: 0.500 0.000 0.500
La: 0.500 0.500 0.000
Pa: 0.000 0.000 0.000
Tl: 0.000 0.000 0.500
Tl: 0.000 0.500 0.000
Tl: 0.500 0.000 0.000
S: 0.222 0.222 0.750
S: 0.222 0.750 0.222
S: 0.250 0.778 0.778
S: 0.266 0.266 0.266
S: 0.734 0.734 0.734
S: 0.750 0.222 0.222
S: 0.778 0.250 0.778
S: 0.778 0.778 0.250

(19)
## NdSmZn2 (PBE-GGA)

Data for a relaxed NdSmZn2 crystal.

Summary:
N(E_F) in states/eV per cell: 4.29
Crystal system: tetragonal
Calculated volume in A^3/atom: 24.55
E above lowest polymorph in eV/atom: 0.001
Magnetic moment in Bohr magnetons per cell: 0.00
ΔE_f in kJ/mol of atoms: -30.2

a = 5.172 Å, b = 5.172 Å, c = 3.671 Å
α = 90.00°, β = 90.00°, γ = 90.00°
Sites, in units of the cell vectors:
Nd: 0.000 0.000 0.000
Sm: 0.500 0.500 0.000
Zn: 0.000 0.500 0.500
Zn: 0.500 0.000 0.500

(20)
## GeRh (PBE-GGA)

Data for a relaxed GeRh crystal.

Summary:
N(E_F) in states/eV per cell: 2.50
Crystal system: cubic
Calculated volume in A^3/atom: 15.00
Magnetic moment in Bohr magnetons per cell: 0.00
ΔE_f in kJ/mol of atoms: -49.5

a = 4.933 Å, b = 4.933 Å, c = 4.933 Å
α = 90.00°, β = 90.00°, γ = 90.00°
Sites, in units of the cell vectors:
Ge: 0.164 0.336 0.664
Ge: 0.336 0.664 0.164
Ge: 0.664 0.164 0.336
Ge: 0.836 0.836 0.836
Rh: 0.123 0.123 0.123
Rh: 0.377 0.877 0.623
Rh: 0.623 0.377 0.877
Rh: 0.877 0.623 0.377

(21)
## Y2CrInCu (PBE-GGA)

Data for a relaxed Y2CrInCu crystal.

Summary:
N(E_F) in states/eV per cell: 3.50
Crystal system: tetragonal
Calculated volume in A^3/atom: 24.06
Magnetic moment in Bohr magnetons per cell: 0.00
ΔE_f in kJ/mol of atoms: 51.5

a = 4.926 Å, b = 4.926 Å, c = 4.957 Å
α = 90.00°, β = 90.00°, γ = 90.00°
Sites, in units of the cell vectors:
Y: 0.000 0.500 0.000
Y: 0.500 0.000 0.000
Cr: 0.000 0.000 0.000
In: 0.000 0.000 0.500
Cu: 0.500 0.500 0.500

(22)
## SmY2Co (PBE-GGA)

Data for a relaxed SmY2Co crystal.

Summary:
N(E_F) in states/eV per cell: 3.88
Crystal system: tetragonal
Calculated volume in A^3/atom: 26.21
E above lowest polymorph in eV/atom: 0.085
Magnetic moment in Bohr magnetons per cell: 0.70
ΔE_f in kJ/mol of atoms: -4.6

a = 3.417 Å, b = 3.417 Å, c = 8.978 Å
α = 90.00°, β = 90.00°, γ = 90.00°
Sites, in units of the cell vectors:
Sm: 0.000 0.000 0.000
Y: 0.500 0.500 0.319
Y: 0.500 0.500 0.681
Co: 0.000 0.000 0.500

(23)
## Sm4Tm3Th2 (PBE-GGA)

Data for a relaxed Sm4Tm3Th2 crystal.

Summary:
N(E_F) in states/eV per cell: 26.46
Crystal system: monoclinic
Calculated volume in A^3/atom: 32.26
E above lowest polymorph in eV/atom: 0.044
Magnetic moment in Bohr magnetons per cell: 0.00
ΔE_f in kJ/mol of atoms: 11.3

a = 9.996 Å, b = 9.996 Å, c = 6.155 Å
α = 96.04°, β = 96.04°, γ = 72.24°
Sites, in units of the cell vectors:
Sm: 0.088 0.811 0.984
Sm: 0.149 0.419 0.154
Sm: 0.189 0.912 0.516
Sm: 0.419 0.149 0.654
Sm: 0.581 0.851 0.346
Sm: 0.811 0.088 0.484
Sm: 0.851 0.581 0.846
Sm: 0.912 0.189 0.016
Tm: 0.061 0.277 0.583
Tm: 0.277 0.061 0.083
Tm: 0.393 0.607 0.250
Tm: 0.607 0.393 0.750
Tm: 0.723 0.939 0.917
Tm: 0.939 0.723 0.417
Th: 0.251 0.530 0.688
Th: 0.470 0.749 0.812
Th: 0.530 0.251 0.188
Th: 0.749 0.470 0.312

(24)
## AsHIr3 (PBE-GGA)

Data for a relaxed AsHIr3 crystal.

Summary:
N(E_F) in states/eV per cell: 2.79
Crystal system: cubic
Calculated volume in A^3/atom: 12.60
E above lowest polymorph in eV/atom: 0.000
Magnetic moment in Bohr magnetons per cell: 0.00

a = 3.979 Å, b = 3.979 Å, c = 3.979 Å
α = 90.00°, β = 90.00°, γ = 90.00°
Sites, in units of the cell vectors:
As: 0.000 0.000 0.000
H: 0.500 0.500 0.500
Ir: 0.000 0.500 0.500
Ir: 0.500 0.000 0.500
Ir: 0.500 0.500 0.000